1.
Entry from the Alexandria database: a geometry-optimized AcScAlZn structure (PBE).

a = 7.389 Å, b = 7.389 Å, c = 7.389 Å
α = 90.00°, β = 90.00°, γ = 90.00°
Space group F-43m (No. 216)
Unique sites:
Ac 0.000 0.000 0.000 x4
Sc 0.000 0.000 0.500 x4
Al 0.250 0.250 0.250 x4
Zn 0.250 0.250 0.750 x4

The calculation puts the energy relative to the elements at -0.21 eV/atom. The value obtained for the total magnetic moment is 0.00 μB/atom.

2.
Entry from the Alexandria database: a geometry-optimized AcAlSe structure (PBE).

a = 4.7825 Å, b = 4.7825 Å, c = 28.4209 Å
α = 90.00°, β = 90.00°, γ = 120.00°
Space group R-3m (No. 166, hexagonal axes)
Unique sites:
Ac 0.0000 0.0000 0.0880 x6
Al 0.0000 0.0000 0.3351 x6
Se 0.0000 0.0000 0.2051 x6

For the uncorrected formation energy, the calculation gives -1.02 eV/atom. The value obtained for the total magnetic moment is 0.00 μB/atom.

3.
Entry from the Alexandria database: a geometry-optimized AcAlSe4 structure (PBE).

a = 6.608 Å, b = 6.608 Å, c = 16.147 Å
α = 90.00°, β = 90.00°, γ = 90.00°
Space group I4_1/a (No. 88, origin choice 2)
Unique sites:
Ac 0.000 0.250 0.125 x4
Al 0.000 0.250 0.625 x4
Se 0.120 0.467 0.296 x16

For the uncorrected formation energy, the calculation gives -0.99 eV/atom. The value obtained for the total magnetic moment is 0.00 μB/atom.

4.
Entry from the Alexandria database: a geometry-optimized AcAlSe2 structure (PBE).

a = 3.8648 Å, b = 3.8648 Å, c = 26.7302 Å
α = 90.00°, β = 90.00°, γ = 120.00°
Space group R-3m (No. 166, hexagonal axes)
Unique sites:
Ac 0.0000 0.0000 0.0000 x3
Al 0.0000 0.0000 0.5000 x3
Se 0.0000 0.0000 0.1150 x6

For the uncorrected formation energy, the calculation gives -0.77 eV/atom. The value obtained for the total magnetic moment is 0.00 μB/atom.

5.
Entry from the Alexandria database: a geometry-optimized Ac2AlSe4 structure (PBE).

a = 12.015 Å, b = 4.192 Å, c = 8.419 Å
α = 90.00°, β = 117.80°, γ = 90.00°
Space group C2/m (No. 12)
Unique sites:
Ac 0.172 0.000 0.188 x4
Al 0.000 0.500 0.500 x2
Se 0.065 0.500 0.854 x4
Se 0.147 0.000 0.542 x4

For the uncorrected formation energy, the calculation gives -1.48 eV/atom. The value obtained for the total magnetic moment is 0.00 μB/atom.

6.
Entry from the Alexandria database: a geometry-optimized Ac3Al2Se8 structure (PBE).

a = 6.9845 Å, b = 6.9845 Å, c = 26.2818 Å
α = 90.00°, β = 90.00°, γ = 120.00°
Space group R-3m (No. 166, hexagonal axes)
Unique sites:
Ac 0.0000 0.0000 0.0000 x3
Ac 0.0000 0.0000 0.2062 x6
Al 0.0000 0.0000 0.4058 x6
Se 0.0000 0.0000 0.3172 x6
Se 0.0292 0.5146 0.7710 x18

For the uncorrected formation energy, the calculation gives -1.34 eV/atom. The value obtained for the total magnetic moment is 0.00 μB/atom.